Record 1
Density functional theory data (PBE) for a relaxed structure of LiMnCu2.

```
data_LiMnCu2
_cell_length_a 8.846
_cell_length_b 2.640
_cell_length_c 4.496
_cell_angle_alpha 90.00
_cell_angle_beta 100.87
_cell_angle_gamma 90.00
_space_group_name_H-M_alt 'C 1 m 1'
_space_group_IT_number 8
loop_
_space_group_symop_operation_xyz
'x,y,z'
'x,-y,z'
'x+1/2,y+1/2,z'
'x+1/2,-y+1/2,z'
loop_
_atom_site_label
_atom_site_fract_x
_atom_site_fract_y
_atom_site_fract_z
Li1 0.000 0.000 0.000
Mn1 0.234 0.000 0.701
Cu1 0.251 0.500 0.213
Cu2 0.488 0.000 0.490
```

Results
For the excess energy over the best structure of this formula in the dataset, the calculation gives 22 meV/atom. The energy relative to the elements is 0.10 eV per atom.

=====

Record 2
Density functional theory data (PBE) for a relaxed structure of Li2MnCu.

```
data_Li2MnCu
_cell_length_a 8.869
_cell_length_b 2.708
_cell_length_c 4.805
_cell_angle_alpha 90.00
_cell_angle_beta 100.24
_cell_angle_gamma 90.00
_space_group_name_H-M_alt 'C 1 m 1'
_space_group_IT_number 8
loop_
_space_group_symop_operation_xyz
'x,y,z'
'x,-y,z'
'x+1/2,y+1/2,z'
'x+1/2,-y+1/2,z'
loop_
_atom_site_label
_atom_site_fract_x
_atom_site_fract_y
_atom_site_fract_z
Li1 0.000 0.000 0.000
Li2 0.240 0.000 0.773
Mn1 0.480 0.000 0.473
Cu1 0.240 0.500 0.285
```

Results
For the excess energy over the best structure of this formula in the dataset, the calculation gives 44 meV/atom. The energy relative to the elements is 0.20 eV per atom.

=====

Record 3
Density functional theory data (PBE) for a relaxed structure of Li2MnCu.

```
data_Li2MnCu
_cell_length_a 2.368
_cell_length_b 2.368
_cell_length_c 8.616
_cell_angle_alpha 90.00
_cell_angle_beta 90.00
_cell_angle_gamma 90.00
_space_group_name_H-M_alt 'P 4/m m m'
_space_group_IT_number 123
_space_group_name_Hall '-P 4 2'
loop_
_atom_site_label
_atom_site_fract_x
_atom_site_fract_y
_atom_site_fract_z
Li1 0.000 0.000 0.248
Mn1 0.500 0.500 0.500
Cu1 0.500 0.500 0.000
```

Results
For the excess energy over the best structure of this formula in the dataset, the calculation gives 102 meV/atom. The energy relative to the elements is 0.26 eV per atom.

=====

Record 4
Density functional theory data (PBE) for a relaxed structure of Li2MnCu.

```
data_Li2MnCu
_cell_length_a 2.821
_cell_length_b 3.447
_cell_length_c 6.102
_cell_angle_alpha 90.00
_cell_angle_beta 90.00
_cell_angle_gamma 90.00
_space_group_name_H-M_alt 'P m m 2'
_space_group_IT_number 25
loop_
_space_group_symop_operation_xyz
'x,y,z'
'-x,-y,z'
'-x,y,z'
'x,-y,z'
loop_
_atom_site_label
_atom_site_fract_x
_atom_site_fract_y
_atom_site_fract_z
Li1 0.000 0.000 0.000
Li2 0.500 0.500 0.279
Mn1 0.000 0.000 0.555
Cu1 0.500 0.500 0.754
```

Results
For the excess energy over the best structure of this formula in the dataset, the calculation gives 18 meV/atom. The energy relative to the elements is 0.17 eV per atom.

=====

Record 5
Density functional theory data (PBE) for a relaxed structure of LiMn4Cu.

```
data_LiMn4Cu
_cell_length_a 6.575
_cell_length_b 6.575
_cell_length_c 6.575
_cell_angle_alpha 90.00
_cell_angle_beta 90.00
_cell_angle_gamma 90.00
_space_group_name_H-M_alt 'F -4 3 m'
_space_group_IT_number 216
_space_group_name_Hall 'F -4 2 3'
loop_
_atom_site_label
_atom_site_fract_x
_atom_site_fract_y
_atom_site_fract_z
Li1 0.000 0.000 0.000
Mn1 0.125 0.125 0.375
Cu1 0.250 0.250 0.750
```

Results
The energy relative to the elements is 0.43 eV per atom.

=====

Record 6
Density functional theory data (PBE) for a relaxed structure of Li2MnCu.

```
data_Li2MnCu
_cell_length_a 2.619
_cell_length_b 4.093
_cell_length_c 5.214
_cell_angle_alpha 90.00
_cell_angle_beta 90.00
_cell_angle_gamma 90.00
_space_group_name_H-M_alt 'P m m m'
_space_group_IT_number 47
loop_
_space_group_symop_operation_xyz
'x,y,z'
'-x,-y,-z'
'-x,-y,z'
'x,y,-z'
'x,-y,-z'
'-x,y,z'
'-x,y,-z'
'x,-y,z'
loop_
_atom_site_label
_atom_site_fract_x
_atom_site_fract_y
_atom_site_fract_z
Li1 0.000 0.000 0.240
Mn1 0.500 0.500 0.500
Cu1 0.500 0.500 0.000
```

Results
For the excess energy over the best structure of this formula in the dataset, the calculation gives 80 meV/atom. The energy relative to the elements is 0.23 eV per atom.

=====

Computed N(E_F), in the same sequence as the records: 4.12, 4.82, 3.20, 1.54, 34.88, 3.25 states/eV/cell.